An optimized crystal structure of GaO, computed with PBE-GGA.

Cell lengths 5.425, 5.425, 9.081 Å; angles 90.00, 90.00, 90.00 degrees
Fractional positions:
Ga1 0.054 0.163 0.153
Ga2 0.163 0.054 0.847
Ga3 0.337 0.554 0.403
Ga4 0.446 0.663 0.097
Ga5 0.554 0.337 0.597
Ga6 0.663 0.446 0.903
Ga7 0.837 0.946 0.347
Ga8 0.946 0.837 0.653
O1 0.060 0.738 0.461
O2 0.238 0.440 0.211
O3 0.262 0.940 0.039
O4 0.440 0.238 0.789
O5 0.560 0.762 0.289
O6 0.738 0.060 0.539
O7 0.762 0.560 0.711
O8 0.940 0.262 0.961

* uncorrected energy: -0.4079 Ry per atom
* calculated volume: 16.7 Å³ per atom
* total magnetization: 0.000 μB/cell
* E_form (uncorrected): -1.5573 eV per atom
* D(E_F): 0.0 states/eV per cell


An optimized crystal structure of GaO, computed with PBE-GGA.

Cell lengths 3.270, 3.270, 6.075 Å; angles 90.00, 90.00, 120.00 degrees
Fractional positions:
Ga1 0.333 0.667 0.000
Ga2 0.667 0.333 0.500
O1 0.333 0.667 0.639
O2 0.667 0.333 0.139

* uncorrected energy: -0.3695 Ry per atom
* calculated volume: 14.1 Å³ per atom
* total magnetization: 0.000 μB/cell
* E_form (uncorrected): -1.0348 eV per atom
* D(E_F): 1.9 states/eV per cell


An optimized crystal structure of GaO, computed with PBE-GGA.

Cell lengths 3.432, 3.432, 3.432 Å; angles 120.17, 119.74, 90.08 degrees
Fractional positions:
Ga1 0.000 0.000 0.000
O1 0.251 0.751 0.500

* uncorrected energy: -0.3696 Ry per atom
* calculated volume: 14.3 Å³ per atom
* total magnetization: 0.000 μB/cell
* E_form (uncorrected): -1.0358 eV per atom
* D(E_F): 0.7 states/eV per cell


- Look up the D(E_F) of the second one.
  1.9 states/eV per cell


- Which formula does entry 2 have?
  GaO


- Which of these has the highest calculated volume?
  number 1


- Which formula does entry 1 have?
  GaO